Entry 1:
Computed, not measured: a geometry-optimized HfCoNi3 structure at the PBE level of DFT.

Cell lengths 4.500, 4.500, 4.500 Å; angles 90.00, 90.00, 90.00 degrees
Space group Pm-3m (No. 221)
Symmetry-distinct sites (fractional):
Hf: 0.000 0.000 0.000 [1 per cell]
Co: 0.500 0.500 0.500 [1 per cell]
Ni: 0.000 0.000 0.500 [3 per cell]

N(E_F) ... 4.2 states/eV/cell
Mass density ... 7.53 g/cm³
Total magnetization ... 1.9 μB per formula unit
Energy above the most stable polymorph in this dataset ... 105.4 kJ per mole of atoms
Energy of formation ... 1.419 eV/atom

---

Entry 2:
Computed, not measured: a geometry-optimized BaBiO3 structure at the PBE level of DFT.

Cell lengths 6.263, 6.245, 10.785 Å; angles 90.00, 125.25, 90.00 degrees
Space group P2_1/c (No. 14)
Symmetry-distinct sites (fractional):
Ba: 0.242 0.018 0.250 [4 per cell]
Bi: 0.000 0.000 0.500 [2 per cell]
Bi: 0.500 0.000 0.000 [2 per cell]
O: 0.180 0.237 0.959 [4 per cell]
O: 0.221 0.724 0.961 [4 per cell]
O: 0.315 0.013 0.741 [4 per cell]

N(E_F) ... 2.1 states/eV/cell
Mass density ... 7.60 g/cm³
Total magnetization ... 0.0 μB per formula unit
Formation energy from raw total energies ... -1815 meV/atom

---

Entry 3:
Computed, not measured: a geometry-optimized La2Tb2Pr4Tm structure at the PBE level of DFT.

Cell lengths 19.130, 3.705, 9.812 Å; angles 90.00, 115.55, 90.00 degrees
Space group C2/m (No. 12)
Symmetry-distinct sites (fractional):
La: 0.165 0.000 0.498 [4 per cell]
Tb: 0.148 0.500 0.167 [4 per cell]
Pr: 0.018 0.000 0.833 [4 per cell]
Pr: 0.186 0.500 0.833 [4 per cell]
Tm: 0.000 0.500 0.500 [2 per cell]

N(E_F) ... 25.1 states/eV/cell
Mass density ... 7.03 g/cm³
Total magnetization ... 0.0 μB per formula unit
Energy of formation ... 0.012 eV/atom

---

Entry 4:
Computed, not measured: a geometry-optimized Li4La3Ag4 structure at the PBE level of DFT.

Cell lengths 4.359, 7.961, 14.985 Å; angles 90.00, 90.00, 90.00 degrees
Space group Immm (No. 71)
Symmetry-distinct sites (fractional):
Li: 0.000 0.192 0.177 [8 per cell]
La: 0.000 0.000 0.377 [4 per cell]
La: 0.000 0.500 0.500 [2 per cell]
Ag: 0.000 0.309 0.000 [4 per cell]
Ag: 0.000 0.500 0.283 [4 per cell]

N(E_F) ... 14.4 states/eV/cell
Mass density ... 5.59 g/cm³
Total magnetization ... 0.0 μB per formula unit
Energy above the most stable polymorph in this dataset ... 0.0 kJ per mole of atoms
Energy of formation ... -0.184 eV/atom

---

Entry 5:
Computed, not measured: a geometry-optimized MnHgRu2 structure at the PBE level of DFT.

Cell lengths 3.917, 3.917, 7.986 Å; angles 90.00, 90.00, 90.00 degrees
Space group I-4m2 (No. 119)
Symmetry-distinct sites (fractional):
Mn: 0.000 0.000 0.000 [2 per cell]
Hg: 0.000 0.500 0.250 [2 per cell]
Ru: 0.000 0.000 0.500 [2 per cell]
Ru: 0.000 0.500 0.750 [2 per cell]

N(E_F) ... 9.9 states/eV/cell
Mass density ... 12.41 g/cm³
Total magnetization ... 3.3 μB per formula unit
Energy of formation ... 0.413 eV/atom

---

Entry 6:
Computed, not measured: a geometry-optimized KTmIn2Br6 structure at the PBE level of DFT.

Cell lengths 8.085, 8.094, 8.334 Å; angles 61.00, 60.98, 60.04 degrees
Space group P1 (No. 1)
Symmetry-distinct sites (fractional):
K: 0.000 0.000 0.000 [1 per cell]
Tm: 0.492 0.493 0.523 [1 per cell]
In: 0.290 0.291 0.128 [1 per cell]
In: 0.797 0.797 0.610 [1 per cell]
Br: 0.148 0.387 0.775 [1 per cell]
Br: 0.255 0.825 0.307 [1 per cell]
Br: 0.386 0.690 0.776 [1 per cell]
Br: 0.613 0.255 0.307 [1 per cell]
Br: 0.689 0.149 0.775 [1 per cell]
Br: 0.825 0.613 0.307 [1 per cell]

N(E_F) ... 0.0 states/eV/cell
Mass density ... 3.89 g/cm³
Total magnetization ... 0.0 μB per formula unit
Formation energy from raw total energies ... -1369 meV/atom

---

Entry 7:
Computed, not measured: a geometry-optimized InPtBr2 structure at the PBE level of DFT.

Cell lengths 7.107, 7.107, 7.107 Å; angles 90.00, 90.00, 90.00 degrees
Space group F-43m (No. 216)
Symmetry-distinct sites (fractional):
In: 0.000 0.000 0.000 [4 per cell]
Pt: 0.250 0.250 0.250 [4 per cell]
Br: 0.000 0.000 0.500 [4 per cell]
Br: 0.250 0.250 0.750 [4 per cell]

N(E_F) ... 12.4 states/eV/cell
Mass density ... 8.69 g/cm³
Total magnetization ... 0.0 μB per formula unit
Energy above the most stable polymorph in this dataset ... 61.8 kJ per mole of atoms
Formation energy from raw total energies ... 325 meV/atom

---

Entry 8:
Computed, not measured: a geometry-optimized RuRhO3 structure at the PBE level of DFT.

Cell lengths 3.877, 3.877, 3.877 Å; angles 90.00, 90.00, 90.00 degrees
Space group Pm-3m (No. 221)
Symmetry-distinct sites (fractional):
Ru: 0.000 0.000 0.000 [1 per cell]
Rh: 0.500 0.500 0.500 [1 per cell]
O: 0.000 0.500 0.500 [3 per cell]

N(E_F) ... 4.2 states/eV/cell
Mass density ... 7.18 g/cm³
Total magnetization ... 4.4 μB per formula unit
Formation energy from raw total energies ... 296 meV/atom

---

Entry 9:
Computed, not measured: a geometry-optimized MnPt2Rh structure at the PBE level of DFT.

Cell lengths 3.888, 3.888, 7.809 Å; angles 90.00, 90.00, 90.00 degrees
Space group I4/mmm (No. 139)
Symmetry-distinct sites (fractional):
Mn: 0.000 0.000 0.000 [2 per cell]
Pt: 0.000 0.500 0.250 [4 per cell]
Rh: 0.000 0.000 0.500 [2 per cell]

N(E_F) ... 12.2 states/eV/cell
Mass density ... 15.42 g/cm³
Total magnetization ... 3.0 μB per formula unit
Energy of formation ... -0.233 eV/atom

---

Entry 10:
Computed, not measured: a geometry-optimized Cd2BBr structure at the PBE level of DFT.

Cell lengths 6.312, 6.312, 10.363 Å; angles 90.00, 90.00, 90.00 degrees
Space group I-42d (No. 122)
Symmetry-distinct sites (fractional):
Cd: 0.163 0.250 0.125 [8 per cell]
B: 0.000 0.000 0.000 [4 per cell]
Br: 0.000 0.000 0.500 [4 per cell]

N(E_F) ... 1.6 states/eV/cell
Mass density ... 5.08 g/cm³
Total magnetization ... 0.0 μB per formula unit
Energy above the most stable polymorph in this dataset ... 0.0 kJ per mole of atoms
Formation energy from raw total energies ... 421 meV/atom

---

Entry 11:
Computed, not measured: a geometry-optimized Zn2MoRh structure at the PBE level of DFT.

Cell lengths 3.995, 3.995, 7.279 Å; angles 90.00, 90.00, 90.00 degrees
Space group I-4m2 (No. 119)
Symmetry-distinct sites (fractional):
Zn: 0.000 0.000 0.000 [2 per cell]
Zn: 0.000 0.500 0.250 [2 per cell]
Mo: 0.000 0.500 0.750 [2 per cell]
Rh: 0.000 0.000 0.500 [2 per cell]

N(E_F) ... 6.6 states/eV/cell
Mass density ... 9.43 g/cm³
Total magnetization ... 0.5 μB per formula unit
Energy above the most stable polymorph in this dataset ... 13.1 kJ per mole of atoms
Energy of formation ... -0.019 eV/atom

---

Entry 12:
Computed, not measured: a geometry-optimized FeIrAu2 structure at the PBE level of DFT.

Cell lengths 2.819, 2.819, 7.929 Å; angles 90.00, 90.00, 90.00 degrees
Space group P4mm (No. 99)
Symmetry-distinct sites (fractional):
Fe: 0.000 0.000 0.000 [1 per cell]
Ir: 0.500 0.500 0.201 [1 per cell]
Au: 0.000 0.000 0.470 [1 per cell]
Au: 0.500 0.500 0.755 [1 per cell]

N(E_F) ... 4.4 states/eV/cell
Mass density ... 16.92 g/cm³
Total magnetization ... 3.0 μB per formula unit
Energy above the most stable polymorph in this dataset ... 0.0 kJ per mole of atoms
Energy of formation ... 0.121 eV/atom